Compound: AcEuIn4
Source: the Alexandria database
Functional: PBE-GGA
Structure: relaxed

- E_form: -0.42 eV per atom
- Density of states at the Fermi level: 3.41 states/eV/f.u.
- Density: 8.072 Mg/m³

Lattice parameters (Å, degrees): 6.248 6.248 6.248 60.00 60.00 60.00
Sites, in units of the cell vectors:
Ac 0.000 0.000 0.000
Eu 0.750 0.750 0.750
In 0.375 0.375 0.375
In 0.375 0.375 0.875
In 0.375 0.875 0.375
In 0.875 0.375 0.375

=====

Compound: KFeP2
Source: the Alexandria database
Functional: PBE-GGA
Structure: relaxed

- E_form: -0.26 eV per atom
- Density of states at the Fermi level: 2.64 states/eV/f.u.
- Distance to the lowest polymorph of the same formula: 0.0 meV per atom
- Density: 3.423 Mg/m³

Lattice parameters (Å, degrees): 7.088 3.327 6.607 90.00 102.29 90.00
Sites, in units of the cell vectors:
K 0.000 0.000 0.000
K 0.500 0.500 0.000
Fe 0.000 0.500 0.500
Fe 0.500 0.000 0.500
P 0.224 0.000 0.626
P 0.276 0.500 0.374
P 0.724 0.500 0.626
P 0.776 0.000 0.374

=====

Compound: Nb2Bi2F
Source: the Alexandria database
Functional: PBE-GGA
Structure: relaxed

- E_form (uncorrected): -0.1368 eV/atom
- Density of states at the Fermi level: 2.15 states/eV/f.u.
- Distance to the lowest polymorph of the same formula: 0.0 meV per atom
- Density: 9.484 Mg/m³

Lattice parameters (Å, degrees): 7.595 7.595 3.781 90.00 90.00 90.00
Sites, in units of the cell vectors:
Nb 0.133 0.367 0.000
Nb 0.367 0.867 0.000
Nb 0.633 0.133 0.000
Nb 0.867 0.633 0.000
Bi 0.159 0.659 0.500
Bi 0.341 0.159 0.500
Bi 0.659 0.841 0.500
Bi 0.841 0.341 0.500
F 0.000 0.000 0.000
F 0.500 0.500 0.000

=====

Compound: Tb2GeBr
Source: the Alexandria database
Functional: PBE-GGA
Structure: relaxed

- E_form (uncorrected): -1.0933 eV/atom
- Density of states at the Fermi level: 1.87 states/eV/f.u.
- Distance to the lowest polymorph of the same formula: 0.0 meV per atom
- Density: 7.283 Mg/m³

Lattice parameters (Å, degrees): 4.208 4.208 20.987 90.00 90.00 120.00
Sites, in units of the cell vectors:
Tb 0.000 0.000 0.237
Tb 0.000 0.000 0.763
Tb 0.333 0.667 0.430
Tb 0.333 0.667 0.903
Tb 0.667 0.333 0.097
Tb 0.667 0.333 0.570
Ge 0.000 0.000 0.500
Ge 0.333 0.667 0.167
Ge 0.667 0.333 0.833
Br 0.000 0.000 0.000
Br 0.333 0.667 0.667
Br 0.667 0.333 0.333

=====

Compound: InRe2SiI
Source: the Alexandria database
Functional: PBE-GGA
Structure: relaxed

- E_form (uncorrected): 1.5881 eV/atom
- Density of states at the Fermi level: 2.72 states/eV/f.u.
- Density: 8.306 Mg/m³

Lattice parameters (Å, degrees): 4.692 4.692 5.832 90.00 90.00 90.00
Sites, in units of the cell vectors:
In 0.000 0.000 0.000
Re 0.000 0.500 0.500
Re 0.500 0.000 0.500
Si 0.500 0.500 0.500
I 0.500 0.500 0.000

=====

Compound: NdYCuIr
Source: the Alexandria database
Functional: PBE-GGA
Structure: relaxed

- E_form: -0.51 eV per atom
- Density of states at the Fermi level: 3.20 states/eV/f.u.
- Distance to the lowest polymorph of the same formula: 0.0 meV per atom
- Density: 8.942 Mg/m³

Lattice parameters (Å, degrees): 4.370 3.922 10.595 90.00 90.00 90.00
Sites, in units of the cell vectors:
Nd 0.000 0.000 0.000
Nd 0.000 0.500 0.500
Y 0.500 0.000 0.279
Y 0.500 0.500 0.779
Cu 0.500 0.000 0.571
Cu 0.500 0.500 0.071
Ir 0.000 0.000 0.719
Ir 0.000 0.500 0.219

=====

Compound: YRuPt4
Source: the Alexandria database
Functional: PBE-GGA
Structure: relaxed

- E_form: -0.37 eV per atom
- Density of states at the Fermi level: 8.37 states/eV/f.u.
- Density: 15.105 Mg/m³

Lattice parameters (Å, degrees): 5.323 5.323 5.323 60.00 60.00 60.00
Sites, in units of the cell vectors:
Y 0.000 0.000 0.000
Ru 0.250 0.250 0.250
Pt 0.127 0.624 0.624
Pt 0.624 0.127 0.624
Pt 0.624 0.624 0.127
Pt 0.624 0.624 0.624

=====

Compound: Tb5Nd5Sm
Source: the Alexandria database
Functional: PBE-GGA
Structure: relaxed

- E_form: 0.29 eV per atom
- Density of states at the Fermi level: 19.94 states/eV/f.u.
- Distance to the lowest polymorph of the same formula: 144.5 meV per atom
- Density: 7.146 Mg/m³

Lattice parameters (Å, degrees): 6.170 6.170 11.746 90.00 90.00 120.00
Sites, in units of the cell vectors:
Tb 0.000 0.000 0.234
Tb 0.000 0.000 0.766
Tb 0.334 0.167 0.000
Tb 0.833 0.167 0.000
Tb 0.833 0.666 0.000
Nd 0.000 0.000 0.500
Nd 0.333 0.667 0.180
Nd 0.333 0.667 0.820
Nd 0.667 0.333 0.344
Nd 0.667 0.333 0.656
Sm 0.333 0.667 0.500